A plane-wave DFT calculation with PBE was carried out for a relaxed structure of BRh3Pb.

Unit cell a=5.919 b=5.919 c=5.919 alpha=60.45 beta=60.45 gamma=60.45
Atoms (fractional coordinates):
Pb 0.246 0.246 0.246
Pb 0.746 0.746 0.746
B 0.496 0.496 0.496
B 0.996 0.996 0.996
Rh 0.210 0.282 0.746
Rh 0.746 0.210 0.282
Rh 0.710 0.246 0.782
Rh 0.282 0.746 0.210
Rh 0.782 0.710 0.246
Rh 0.246 0.782 0.710

Values from the calculation:
Crystal system: trigonal
V in Å³/atom: 14.8
Electronic total energy in eV per atom: -6.705
Total magnetization in μB per cell: 0.00
DFT formation energy in eV/f.u.: -1.08
Offset from the most stable computed form in eV per atom: 0.007
D(E_F) in states/eV per cell: 1.72